Record 1
PmSm2Ho3Er6 | PBE | relaxed

a = 6.1369 Å, b = 6.1369 Å, c = 11.7080 Å
α = 95.00°, β = 95.00°, γ = 119.95°
Atoms (fractional coordinates):
Er1 0.5815 0.9150 0.7472
Ho1 0.1667 0.8333 0.5000
Ho2 0.8333 0.1667 0.5000
Er2 0.7516 0.7516 0.2528
Pm1 0.0000 0.0000 0.0000
Ho3 0.5000 0.5000 0.5000
Er3 0.9150 0.5815 0.7472
Er4 0.4185 0.0850 0.2528
Er5 0.0850 0.4185 0.2528
Er6 0.2484 0.2484 0.7472
Sm1 0.3333 0.6667 0.0000
Sm2 0.6667 0.3333 0.0000

The space group is No. 12. The calculated total energy comes out at -4.5884 eV per atom. As for the energy relative to the elements: 1.92 kJ per mole of atoms.

---

Record 2
Y2CdTc | PBE | relaxed

a = 6.1301 Å, b = 6.1301 Å, c = 6.1301 Å
α = 146.24°, β = 131.84°, γ = 60.10°
Atoms (fractional coordinates):
Cd1 0.4627 0.4627 0.0000
Y1 0.0375 0.0375 0.0000
Tc1 0.2553 0.7553 0.5000
Y2 0.7444 0.2444 0.5000

The space group is No. 44. The calculated total energy comes out at -6.0172 eV per atom. As for the energy relative to the elements: 3.38 kJ per mole of atoms.

---

Record 3
Li2TbBr4 | PBE | relaxed

a = 6.7536 Å, b = 6.7536 Å, c = 6.7536 Å
α = 105.67°, β = 105.67°, γ = 117.38°
Last column: magnetic moment on the atom in μB.
Atoms (fractional coordinates):
Tb1 0.5000 0.5000 0.0000  0.52
Br1 0.8154 0.3579 0.1733  0.00
Br2 0.3579 0.1846 0.5425  0.00
Br3 0.1846 0.6421 0.8267  0.00
Li1 0.7500 0.2500 0.5000  0.00
Li2 0.2500 0.7500 0.5000  0.00
Br4 0.6421 0.8154 0.4575  0.00

The space group is No. 87. The raw formation energy is -1.40 eV per atom. The calculated total energy comes out at -3.5639 eV per atom.

---

Record 4
Cd2In2Sn | PBE | relaxed

a = 8.3363 Å, b = 8.3363 Å, c = 3.8097 Å
α = 90.00°, β = 90.00°, γ = 90.00°
Atoms (fractional coordinates):
Cd1 0.6274 0.1274 0.0000
In1 0.6738 0.8262 0.5000
Cd2 0.1274 0.3726 0.0000
Cd3 0.8726 0.6274 0.0000
Sn1 0.0000 0.0000 0.0000
In2 0.3262 0.1738 0.5000
Cd4 0.3726 0.8726 0.0000
In3 0.1738 0.6738 0.5000
Sn2 0.5000 0.5000 0.0000
In4 0.8262 0.3262 0.5000

The space group is No. 127. The calculated total energy comes out at -2.1806 eV per atom. As for the energy relative to the elements: 7.85 kJ per mole of atoms.